Entry 1:
Material: Cr2FeNi4
Method: DFT, PBE-GGA
State: relaxed

Unit cell a=2.441 b=6.304 c=5.945 alpha=120.41 beta=90.00 gamma=90.00
Last column: magnetic moment on the atom in μB.
Fractional coordinates of all 7 atoms:
Fe  0.000  0.929  0.000  1.99
Ni  0.000  0.375  0.171  0.14
Ni  0.500  0.090  0.742  0.16
Ni  0.500  0.767  0.258  0.16
Ni  0.000  0.482  0.829  0.14
Cr  0.500  0.648  0.584  -0.26
Cr  0.500  0.209  0.416  -0.26

=====

Entry 2:
Material: CrFe3Ni
Method: DFT, PBE-GGA
State: relaxed

Unit cell a=7.732 b=4.713 c=7.955 alpha=53.66 beta=90.00 gamma=90.00
Last column: magnetic moment on the atom in μB.
Fractional coordinates of all 20 atoms:
Cr  0.835  0.480  0.270  -1.64
Cr  0.665  0.480  0.770  -1.64
Cr  0.165  0.520  0.730  -1.64
Cr  0.335  0.520  0.230  -1.64
Ni  0.759  0.848  0.403  0.42
Ni  0.259  0.152  0.097  0.42
Ni  0.741  0.848  0.903  0.42
Ni  0.241  0.152  0.597  0.42
Fe  0.921  0.854  0.657  1.92
Fe  0.421  0.146  0.843  1.92
Fe  0.921  0.332  0.657  1.92
Fe  0.403  0.785  0.465  2.68
Fe  0.597  0.215  0.535  2.68
Fe  0.097  0.785  0.965  2.68
Fe  0.579  0.332  0.157  1.92
Fe  0.079  0.146  0.343  1.92
Fe  0.903  0.215  0.035  2.68
Fe  0.079  0.668  0.343  1.92
Fe  0.579  0.854  0.157  1.92
Fe  0.421  0.668  0.843  1.92

=====

Entry 3:
Material: Cr2Fe2Ni7
Method: DFT, PBE-GGA
State: relaxed

Unit cell a=4.500 b=7.996 c=5.715 alpha=45.67 beta=70.87 gamma=62.04
Last column: magnetic moment on the atom in μB.
Fractional coordinates of all 11 atoms:
Ni  0.176  0.584  0.489  0.37
Ni  0.824  0.928  0.489  0.38
Ni  0.000  0.000  0.000  0.55
Ni  0.454  0.275  0.000  0.32
Ni  0.824  0.416  0.511  0.37
Ni  0.176  0.072  0.511  0.38
Ni  0.546  0.725  0.000  0.32
Fe  0.499  0.174  0.653  2.89
Fe  0.501  0.826  0.347  2.89
Cr  0.860  0.378  0.000  1.90
Cr  0.140  0.622  0.000  1.90

=====

Entry 4:
Material: Cr2FeNi
Method: DFT, PBE-GGA
State: relaxed

Unit cell a=4.298 b=4.298 c=4.298 alpha=130.43 beta=130.43 gamma=72.73
Last column: magnetic moment on the atom in μB.
Fractional coordinates of all 4 atoms:
Fe  0.500  0.500  0.000  1.34
Cr  0.000  0.000  0.000  0.63
Cr  0.250  0.750  0.500  -0.94
Ni  0.750  0.250  0.500  -0.13

=====

Entry 5:
Material: CrFe5Ni6
Method: DFT, PBE-GGA
State: relaxed

Unit cell a=4.401 b=5.007 c=6.653 alpha=67.96 beta=91.17 gamma=90.04
Last column: magnetic moment on the atom in μB.
Fractional coordinates of all 12 atoms:
Ni  0.169  0.416  0.667  0.58
Ni  0.831  0.083  0.333  0.58
Ni  0.169  0.917  0.667  0.58
Ni  0.500  0.750  0.000  0.49
Ni  0.831  0.584  0.333  0.58
Ni  0.500  0.250  0.000  0.49
Fe  0.667  0.667  0.665  2.64
Fe  0.330  0.834  0.332  2.58
Fe  0.333  0.333  0.335  2.64
Fe  0.000  0.500  0.000  2.55
Fe  0.670  0.166  0.668  2.58
Cr  0.000  0.000  0.000  -2.15

=====

Entry 6:
Material: CrFeNi2
Method: DFT, PBE-GGA
State: relaxed

Unit cell a=4.434 b=4.434 c=2.459 alpha=89.97 beta=89.97 gamma=112.16
Last column: magnetic moment on the atom in μB.
Fractional coordinates of all 4 atoms:
Cr  0.500  0.000  0.500  -0.61
Ni  0.000  0.000  0.000  0.32
Ni  0.500  0.500  0.000  0.32
Fe  0.000  0.500  0.500  2.44

=====

Number 1: energy of formation 1.025 eV/f.u.. Number 2: energy of formation 0.530 eV/f.u.. Number 3: energy of formation 2.009 eV/f.u.. Number 4: energy of formation 0.492 eV/f.u.. Number 5: energy of formation -0.410 eV/f.u.. Number 6: energy of formation 0.208 eV/f.u..